Here is a relaxed structure of TmHfZnRu from the Alexandria database. Energies are from PBE.

Calculated values
* energy of formation: -0.388 eV/atom
* space-group type: F-43m

Structure (POSCAR):
```
TmHfZnRu
1.0
-0.382 4.654 -0.810
-3.702 2.409 1.720
0.619 3.082 3.547
Tm Zn Hf Ru
1 1 1 1
direct
0.250 0.250 0.250
0.000 0.000 0.000
0.750 0.750 0.750
0.500 0.500 0.500
```



Here is a relaxed structure of RbSm2P2N6 from the Alexandria database. Energies are from PBE.

Calculated values
* formation energy (no corrections): -691 meV/atom
* space-group type: C2/m

Structure (POSCAR):
```
RbSm2P2N6
1.0
6.460 0.004 0.003
3.227 5.684 -0.041
-0.001 -3.201 5.701
N Sm P Rb
6 2 2 1
direct
0.598 0.397 0.166
0.067 0.865 0.629
0.995 0.603 0.834
0.005 0.397 0.166
0.933 0.135 0.371
0.402 0.603 0.834
0.822 0.355 0.803
0.178 0.645 0.197
0.153 0.693 0.757
0.847 0.307 0.243
0.500 0.000 0.500
```



Here is a relaxed structure of Ho2ErTc from the Alexandria database. Energies are from PBE.

Calculated values
* energy of formation: 0.015 eV/atom
* space-group type: P4/mmm

Structure (POSCAR):
```
Ho2ErTc
1.0
3.448 0.000 0.000
0.000 3.448 0.000
0.000 0.000 8.730
Tc Ho Er
1 2 1
direct
0.500 0.500 0.000
0.000 0.000 0.813
0.000 0.000 0.187
0.500 0.500 0.500
```



Here is a relaxed structure of Ba2NdHoSe4 from the Alexandria database. Energies are from PBE.

Calculated values
* formation energy (no corrections): -1887 meV/atom
* space-group type: P2/m

Structure (POSCAR):
```
Ba2NdHoSe4
1.0
4.339 0.000 0.000
0.000 7.511 0.128
0.000 -2.631 7.357
Se Ba Nd Ho
4 2 1 1
direct
0.500 0.230 0.214
0.500 0.770 0.786
0.000 0.748 0.218
0.000 0.252 0.782
0.500 0.000 0.500
0.000 0.500 0.500
0.500 0.500 0.000
0.000 0.000 0.000
```



Here is a relaxed structure of KMo2W from the Alexandria database. Energies are from PBE.

Calculated values
* energy of formation: 1.971 eV/atom
* space-group type: I-42d

Structure (POSCAR):
```
KMo2W
1.0
4.967 0.000 0.000
0.000 4.967 0.000
2.483 2.483 8.723
W Mo K
2 4 2
direct
0.750 0.250 0.500
0.000 0.000 0.000
0.375 0.066 0.750
0.875 0.184 0.750
0.934 0.125 0.250
0.816 0.625 0.250
0.500 0.500 0.000
0.250 0.750 0.500
```



Here is a relaxed structure of Al2IrW from the Alexandria database. Energies are from PBE.

Calculated values
* energy of formation: 0.278 eV/atom
* space-group type: I-42d

Structure (POSCAR):
```
Al2IrW
1.0
-5.913 1.248 3.526
1.409 -5.366 4.263
-0.927 -0.410 5.533
Al Ir W
4 2 2
direct
0.652 0.125 0.250
0.875 0.902 0.750
0.098 0.625 0.250
0.375 0.348 0.750
0.750 0.250 0.500
0.000 0.000 0.000
0.500 0.500 0.000
0.250 0.750 0.500
```